Entry 1:
Entry from the Alexandria database: Y2Ga3Au2 after structural relaxation (PBE-GGA).

Space group   Cmcm, No. 63
M_tot   0.000 μB/atom
ρ   8.93 g cm⁻³
Density of states at the Fermi level   0.50 states/eV per atom
Offset from the most stable computed form   6 meV per atom

Cell lengths 4.2490, 7.2807, 9.6232 Å; angles 90.00, 102.75, 90.00 degrees
Element x y z (fractional)
Ga  0.5564  0.0791  0.1128
Ga  0.4436  0.5791  0.8872
Ga  0.5564  0.4209  0.1128
Ga  0.7733  0.2500  0.5466
Ga  0.4436  0.9209  0.8872
Ga  0.2267  0.7500  0.4534
Au  0.6841  0.9485  0.3682
Au  0.3159  0.4485  0.6318
Au  0.6841  0.5515  0.3682
Au  0.3159  0.0515  0.6318
Y  0.1560  0.2500  0.3120
Y  0.8440  0.7500  0.6880
Y  0.9437  0.2500  0.8874
Y  0.0563  0.7500  0.1126

Entry 2:
Entry from the Alexandria database: YGa2Au after structural relaxation (PBE-GGA).

Space group   Fm-3m, No. 225
M_tot   0.000 μB/atom
ρ   8.95 g cm⁻³
Density of states at the Fermi level   0.05 states/eV per atom
Energy   -0.322 Ry per atom

Cell lengths 4.8154, 4.8154, 4.8154 Å; angles 60.00, 60.00, 60.00 degrees
Element x y z (fractional)
Y  0.0000  0.0000  0.0000
Ga  0.7500  0.7500  0.7500
Ga  0.2500  0.2500  0.2500
Au  0.5000  0.5000  0.5000

Entry 3:
Entry from the Alexandria database: Y2GaAu8 after structural relaxation (PBE-GGA).

Space group   Immm, No. 71
M_tot   0.000 μB/atom
ρ   13.64 g cm⁻³
Density of states at the Fermi level   0.45 states/eV per atom
Energy   -0.319 Ry per atom

Cell lengths 5.0459, 6.7509, 7.7624 Å; angles 115.82, 108.97, 90.00 degrees
Element x y z (fractional)
Au  0.6230  0.4154  0.2459
Au  0.8265  0.8265  0.6529
Au  0.3775  0.1704  0.7550
Au  0.3770  0.5846  0.7541
Au  0.6225  0.8296  0.2450
Au  0.9999  0.7248  0.9998
Au  0.1735  0.1735  0.3471
Au  0.0001  0.2752  0.0002
Ga  0.5000  0.0000  0.0000
Y  0.7955  0.2950  0.5911
Y  0.2045  0.7050  0.4089

Entry 4:
Entry from the Alexandria database: Y4GaAu3 after structural relaxation (PBE-GGA).

Space group   Pmm2, No. 25
M_tot   0.000 μB/atom
ρ   8.73 g cm⁻³
Density of states at the Fermi level   0.76 states/eV per atom
Energy   -0.415 Ry per atom

Cell lengths 3.7335, 4.6577, 11.1222 Å; angles 90.00, 90.00, 90.00 degrees
Element x y z (fractional)
Y  0.5000  0.5000  0.3602
Y  0.5000  0.0000  0.6395
Y  0.0000  0.5000  0.8564
Y  0.0000  0.0000  0.1424
Ga  0.5000  0.5000  0.0828
Au  0.0000  0.0000  0.4138
Au  0.5000  0.0000  0.9186
Au  0.0000  0.5000  0.5862

Question: Look up the M_tot of the second one.
Answer: 0.000 μB/atom

Question: Look up the ρ of the third one.
Answer: 13.64 g cm⁻³

What did the second record say?
Entry from the Alexandria database: YGa2Au after structural relaxation (PBE-GGA).

Space group   Fm-3m, No. 225
M_tot   0.000 μB/atom
ρ   8.95 g cm⁻³
Density of states at the Fermi level   0.05 states/eV per atom
Energy   -0.322 Ry per atom

Cell lengths 4.8154, 4.8154, 4.8154 Å; angles 60.00, 60.00, 60.00 degrees
Element x y z (fractional)
Y  0.0000  0.0000  0.0000
Ga  0.7500  0.7500  0.7500
Ga  0.2500  0.2500  0.2500
Au  0.5000  0.5000  0.5000

Question: The lowest ρ belongs to which entry?
Answer: Y4GaAu3